(1)
# Li4Pr3Pd4 | the Alexandria database | PBE-GGA | relaxed
data_Li4Pr3Pd4
_chemical_formula_sum 'Li8 Pr6 Pd8'
_cell_length_a 7.6396
_cell_length_b 7.6396
_cell_length_c 7.6396
_cell_angle_alpha 90.00
_cell_angle_beta 90.00
_cell_angle_gamma 90.00
_symmetry_space_group_name_H-M 'I -4 3 m'
_symmetry_Int_Tables_number 217
_symmetry_space_group_name_Hall 'I -4 2 3'
loop_
_atom_site_label
_atom_site_fract_x
_atom_site_fract_y
_atom_site_fract_z
_atom_site_occupancy
Li1 0.1207 0.1207 0.1207 1
Pr1 0.0000 0.0000 0.5000 1
Pd1 0.2004 0.2004 0.7996 1
# **Relative energy among the computed polymorphs**: 0.122 eV/atom
# **E_tot**: -94.21 eV for the cell shown
# **Magnetization**: 0.0 μB/f.u.
# **Formation energy**: -4.34 eV per formula unit
# **Mass density**: 6.5 Mg/m³

(2)
# Li7PrPd4 | the Alexandria database | PBE-GGA | relaxed
data_Li7PrPd4
_chemical_formula_sum 'Li14 Pr2 Pd8'
_cell_length_a 10.1386
_cell_length_b 4.9891
_cell_length_c 9.2207
_cell_angle_alpha 90.00
_cell_angle_beta 117.08
_cell_angle_gamma 90.00
_symmetry_space_group_name_H-M 'C 1 2/m 1'
_symmetry_Int_Tables_number 12
_symmetry_space_group_name_Hall '-C 2y'
loop_
_atom_site_label
_atom_site_fract_x
_atom_site_fract_y
_atom_site_fract_z
_atom_site_occupancy
Li1 0.0000 0.0000 0.0000 1
Li2 0.1241 0.5000 0.4307 1
Li3 0.1404 0.0000 0.6201 1
Li4 0.1850 0.5000 0.7764 1
Pr1 0.0000 0.5000 0.0000 1
Pd1 0.1050 0.0000 0.3103 1
Pd2 0.1882 0.0000 0.9165 1
# **E_tot**: -83.36 eV for the cell shown
# **Magnetization**: 0.0 μB/f.u.
# **Formation energy**: -2.73 eV per formula unit
# **Mass density**: 4.9 Mg/m³

(3)
# LiPrPd | the Alexandria database | PBE-GGA | relaxed
data_LiPrPd
_chemical_formula_sum 'Li2 Pr2 Pd2'
_cell_length_a 4.6552
_cell_length_b 3.7264
_cell_length_c 8.5106
_cell_angle_alpha 90.00
_cell_angle_beta 90.00
_cell_angle_gamma 90.00
_symmetry_space_group_name_H-M 'P m m a'
_symmetry_Int_Tables_number 51
_symmetry_space_group_name_Hall '-P 2a 2a'
loop_
_atom_site_label
_atom_site_fract_x
_atom_site_fract_y
_atom_site_fract_z
_atom_site_occupancy
Li1 0.2500 0.0000 0.0897 1
Pr1 0.2500 0.5000 0.6856 1
Pd1 0.2500 0.0000 0.3971 1
# **Relative energy among the computed polymorphs**: 0.084 eV/atom
# **E_tot**: -26.44 eV for the cell shown
# **Magnetization**: 0.0 μB/f.u.
# **Formation energy**: -1.34 eV per formula unit
# **Mass density**: 5.7 Mg/m³

(4)
# Li4PrPd | the Alexandria database | PBE-GGA | relaxed
data_Li4PrPd
_chemical_formula_sum 'Li16 Pr4 Pd4'
_cell_length_a 7.6016
_cell_length_b 7.6016
_cell_length_c 7.6016
_cell_angle_alpha 90.00
_cell_angle_beta 90.00
_cell_angle_gamma 90.00
_symmetry_space_group_name_H-M 'F -4 3 m'
_symmetry_Int_Tables_number 216
_symmetry_space_group_name_Hall 'F -4 2 3'
loop_
_atom_site_label
_atom_site_fract_x
_atom_site_fract_y
_atom_site_fract_z
_atom_site_occupancy
Li1 0.1220 0.1220 0.1220 1
Pr1 0.0000 0.0000 0.5000 1
Pd1 0.2500 0.2500 0.7500 1
# **E_tot**: -72.94 eV for the cell shown
# **Magnetization**: 0.0 μB/f.u.
# **Formation energy**: -0.61 eV per formula unit
# **Mass density**: 4.2 Mg/m³

(5)
# LiPr2Pd6 | the Alexandria database | PBE-GGA | relaxed
data_LiPr2Pd6
_chemical_formula_sum 'Li1 Pr2 Pd6'
_cell_length_a 5.8492
_cell_length_b 5.8492
_cell_length_c 5.6575
_cell_angle_alpha 90.00
_cell_angle_beta 90.00
_cell_angle_gamma 120.00
_symmetry_space_group_name_H-M 'P -3 m 1'
_symmetry_Int_Tables_number 164
_symmetry_space_group_name_Hall '-P 3 2"'
loop_
_atom_site_label
_atom_site_fract_x
_atom_site_fract_y
_atom_site_fract_z
_atom_site_occupancy
Li1 0.0000 0.0000 0.0000 1
Pr1 0.3333 0.6667 0.8097 1
Pd1 0.1723 0.3446 0.3064 1
# **Relative energy among the computed polymorphs**: 0.023 eV/atom
# **E_tot**: -48.62 eV for the cell shown
# **Magnetization**: 0.0 μB/f.u.
# **Formation energy**: -5.99 eV per formula unit
# **Mass density**: 9.2 Mg/m³

(6)
# LiPr3Pd2 | the Alexandria database | PBE-GGA | relaxed
data_LiPr3Pd2
_chemical_formula_sum 'Li4 Pr12 Pd8'
_cell_length_a 6.7767
_cell_length_b 13.3390
_cell_length_c 7.6340
_cell_angle_alpha 90.00
_cell_angle_beta 90.00
_cell_angle_gamma 90.00
_symmetry_space_group_name_H-M 'I b a m'
_symmetry_Int_Tables_number 72
_symmetry_space_group_name_Hall '-I 2 2c'
loop_
_atom_site_label
_atom_site_fract_x
_atom_site_fract_y
_atom_site_fract_z
_atom_site_occupancy
Li1 0.0000 0.0000 0.0000 1
Pr1 0.0000 0.2117 0.2500 1
Pr2 0.0000 0.5000 0.2500 1
Pd1 0.1955 0.3598 0.0000 1
# **E_tot**: -116.73 eV for the cell shown
# **Magnetization**: 0.0 μB/f.u.
# **Formation energy**: -2.54 eV per formula unit
# **Mass density**: 6.2 Mg/m³

(7)
# Li4PrPd2 | the Alexandria database | PBE-GGA | relaxed
data_Li4PrPd2
_chemical_formula_sum 'Li8 Pr2 Pd4'
_cell_length_a 3.9325
_cell_length_b 16.6184
_cell_length_c 4.1011
_cell_angle_alpha 90.00
_cell_angle_beta 90.00
_cell_angle_gamma 90.00
_symmetry_space_group_name_H-M 'C m m m'
_symmetry_Int_Tables_number 65
_symmetry_space_group_name_Hall '-C 2 2'
loop_
_atom_site_label
_atom_site_fract_x
_atom_site_fract_y
_atom_site_fract_z
_atom_site_occupancy
Li1 0.0000 0.1771 0.0000 1
Li2 0.0000 0.3144 0.5000 1
Pr1 0.0000 0.5000 0.0000 1
Pd1 0.0000 0.0817 0.5000 1
# **Relative energy among the computed polymorphs**: 0.007 eV/atom
# **E_tot**: -51.11 eV for the cell shown
# **Magnetization**: 0.0 μB/f.u.
# **Formation energy**: -2.73 eV per formula unit
# **Mass density**: 4.7 Mg/m³

(8)
# LiPr2Pd5 | the Alexandria database | PBE-GGA | relaxed
data_LiPr2Pd5
_chemical_formula_sum 'Li2 Pr4 Pd10'
_cell_length_a 6.0788
_cell_length_b 6.0788
_cell_length_c 8.2311
_cell_angle_alpha 90.00
_cell_angle_beta 90.00
_cell_angle_gamma 90.00
_symmetry_space_group_name_H-M 'I 4 m m'
_symmetry_Int_Tables_number 107
_symmetry_space_group_name_Hall 'I 4 -2'
loop_
_atom_site_label
_atom_site_fract_x
_atom_site_fract_y
_atom_site_fract_z
_atom_site_occupancy
Li1 0.0000 0.0000 0.0000 1
Pr1 0.0000 0.5000 0.0761 1
Pd1 0.0000 0.0000 0.5816 1
Pd2 0.2403 0.2403 0.3225 1
# **E_tot**: -85.89 eV for the cell shown
# **Magnetization**: 0.0 μB/f.u.
# **Formation energy**: -5.51 eV per formula unit
# **Mass density**: 9.0 Mg/m³

(9)
# Li4PrPd2 | the Alexandria database | PBE-GGA | relaxed
data_Li4PrPd2
_chemical_formula_sum 'Li8 Pr2 Pd4'
_cell_length_a 7.8043
_cell_length_b 7.8043
_cell_length_c 4.2089
_cell_angle_alpha 90.00
_cell_angle_beta 90.00
_cell_angle_gamma 90.00
_symmetry_space_group_name_H-M 'P 42/m n m'
_symmetry_Int_Tables_number 136
_symmetry_space_group_name_Hall '-P 4n 2n'
loop_
_atom_site_label
_atom_site_fract_x
_atom_site_fract_y
_atom_site_fract_z
_atom_site_occupancy
Li1 0.0965 0.3474 0.0000 1
Pr1 0.0000 0.0000 0.5000 1
Pd1 0.2093 0.7907 0.0000 1
# **Relative energy among the computed polymorphs**: 0.000 eV/atom
# **E_tot**: -51.20 eV for the cell shown
# **Magnetization**: 0.0 μB/f.u.
# **Formation energy**: -2.78 eV per formula unit
# **Mass density**: 4.9 Mg/m³

(10)
# LiPr2Pd3 | the Alexandria database | PBE-GGA | relaxed
data_LiPr2Pd3
_chemical_formula_sum 'Li2 Pr4 Pd6'
_cell_length_a 4.4916
_cell_length_b 4.4916
_cell_length_c 15.3759
_cell_angle_alpha 90.00
_cell_angle_beta 90.00
_cell_angle_gamma 120.00
_symmetry_space_group_name_H-M 'P 63/m m c'
_symmetry_Int_Tables_number 194
_symmetry_space_group_name_Hall '-P 6c 2c'
loop_
_atom_site_label
_atom_site_fract_x
_atom_site_fract_y
_atom_site_fract_z
_atom_site_occupancy
Li1 0.3333 0.6667 0.2500 1
Pr1 0.0000 0.0000 0.1207 1
Pd1 0.3333 0.6667 0.0180 1
Pd2 0.3333 0.6667 0.7500 1
# **Relative energy among the computed polymorphs**: 0.000 eV/atom
# **E_tot**: -61.10 eV for the cell shown
# **Magnetization**: 0.0 μB/f.u.
# **Formation energy**: -3.50 eV per formula unit
# **Mass density**: 7.5 Mg/m³

(11)
# LiPrPd | the Alexandria database | PBE-GGA | relaxed
data_LiPrPd
_chemical_formula_sum 'Li1 Pr1 Pd1'
_cell_length_a 4.4073
_cell_length_b 4.4073
_cell_length_c 3.9189
_cell_angle_alpha 90.00
_cell_angle_beta 90.00
_cell_angle_gamma 120.00
_symmetry_space_group_name_H-M 'P -6 m 2'
_symmetry_Int_Tables_number 187
_symmetry_space_group_name_Hall 'P -6 2'
loop_
_atom_site_label
_atom_site_fract_x
_atom_site_fract_y
_atom_site_fract_z
_atom_site_occupancy
Li1 0.0000 0.0000 0.0000 1
Pr1 0.6667 0.3333 0.5000 1
Pd1 0.3333 0.6667 0.0000 1
# **Relative energy among the computed polymorphs**: 0.077 eV/atom
# **E_tot**: -13.24 eV for the cell shown
# **Magnetization**: 0.0 μB/f.u.
# **Formation energy**: -1.36 eV per formula unit
# **Mass density**: 6.4 Mg/m³

What did the eighth record say?
# LiPr2Pd5 | the Alexandria database | PBE-GGA | relaxed
data_LiPr2Pd5
_chemical_formula_sum 'Li2 Pr4 Pd10'
_cell_length_a 6.0788
_cell_length_b 6.0788
_cell_length_c 8.2311
_cell_angle_alpha 90.00
_cell_angle_beta 90.00
_cell_angle_gamma 90.00
_symmetry_space_group_name_H-M 'I 4 m m'
_symmetry_Int_Tables_number 107
_symmetry_space_group_name_Hall 'I 4 -2'
loop_
_atom_site_label
_atom_site_fract_x
_atom_site_fract_y
_atom_site_fract_z
_atom_site_occupancy
Li1 0.0000 0.0000 0.0000 1
Pr1 0.0000 0.5000 0.0761 1
Pd1 0.0000 0.0000 0.5816 1
Pd2 0.2403 0.2403 0.3225 1
# **E_tot**: -85.89 eV for the cell shown
# **Magnetization**: 0.0 μB/f.u.
# **Formation energy**: -5.51 eV per formula unit
# **Mass density**: 9.0 Mg/m³